First-principles (PBE-GGA) data for an optimized crystal structure of MnCuSn, as listed in Alexandria via LeMat-Bulk.

Cell: 5.0469 5.0469 5.7574 Å, 107.09 107.09 44.94°
Fractional coordinates of all 6 atoms:
Mn: 0.2108 0.2108 0.4073
Mn: 0.7892 0.7892 0.5927
Cu: 0.2599 0.2599 0.8710
Cu: 0.7401 0.7401 0.1290
Sn: 0.0000 0.0000 0.0000
Sn: 0.5000 0.5000 0.5000

Calculated values
Spin magnetization in μB/f.u.: 0.00
Symmetry: C2/m
Energy in eV/atom: -5.484